Entry 1:
Mg5InGa2Hg | PBE | relaxed

Output
DFT formation energy = -0.0722 eV/atom
space group = I4/mcm, No. 140
crystal system = tetragonal
calculated total energy = -1.968 eV/atom

```
18
Lattice="-2.544 1.509 6.792 -6.464 -3.187 -1.713 7.050 -5.608 -0.153" Properties=species:S:1:pos:R:3 pbc="T T T"
Mg -3.316 -1.391 5.523
Mg 2.436 -3.711 4.153
Mg 1.357 -5.895 -0.597
Mg 4.341 -4.154 0.925
Mg -0.548 -5.452 2.631
Mg -6.299 -3.132 4.001
Mg -1.411 -1.833 2.294
Mg -4.394 -3.574 0.773
Mg -4.504 -0.839 2.539
Mg 0.000 0.000 0.000
In 1.273 -3.223 1.193
In -3.232 -4.062 3.732
Ga -2.777 -1.048 0.130
Ga -2.317 0.560 3.985
Ga -6.691 -2.237 1.093
Ga -6.231 -0.629 4.948
Hg -1.959 -4.817 0.336
Hg 0.001 -2.469 4.589
```

Entry 2:
CeScBi2O | PBE | relaxed

Output
space group = P4/nmm, No. 129
formation energy from raw total energies = -140 kJ/mol of atoms
crystal system = tetragonal
calculated total energy = -6.452 eV/atom

```
10
Lattice="-3.365 -1.278 -1.963 2.180 -0.451 -3.444 3.105 -14.009 3.801" Properties=species:S:1:pos:R:3 pbc="T T T"
Ce 0.112 -8.736 1.215
Ce 2.400 -6.138 -0.118
Sc -1.428 -1.788 -0.670
Sc 3.940 -13.086 1.767
Bi 3.307 -10.230 0.993
Bi 1.482 -1.996 -1.242
Bi 1.030 -12.879 2.339
Bi -0.795 -4.644 0.105
O 1.552 -7.005 1.900
O 0.960 -7.869 -0.803
```

Entry 3:
Sr2HPb | PBE | relaxed

Output
space group = I-42d, No. 122
crystal system = tetragonal
calculated total energy = -2.960 eV/atom

```
8
Lattice="-0.027 -5.697 -5.125 6.099 -3.118 3.435 0.529 -6.606 1.612" Properties=species:S:1:pos:R:3 pbc="T T T"
Pb 0.000 0.000 0.000
Pb 1.769 -8.355 -2.179
Sr 0.881 -5.053 -1.877
Sr 3.938 -4.861 1.416
Sr 3.261 -8.560 0.906
Sr 5.123 -12.367 -0.600
H 3.036 -4.408 -0.845
H 4.832 -7.066 2.101
```

Entry 4:
KCaMo | PBE | relaxed

Output
DFT formation energy = 1.8435 eV/atom
space group = F-43m, No. 216
crystal system = cubic
calculated total energy = -2.800 eV/atom

```
3
Lattice="-1.943 -0.385 5.266 0.339 -4.884 2.773 3.596 -0.555 4.291" Properties=species:S:1:pos:R:3 pbc="T T T"
Ca 0.996 -2.912 6.165
K 1.494 -4.368 9.248
Mo 0.000 0.000 0.000
```

Entry 5:
Tm2Al4RhAu3 | PBE | relaxed

Output
DFT formation energy = -0.7263 eV/atom
space group = P-4m2, No. 115
crystal system = tetragonal
calculated total energy = -4.836 eV/atom

```
10
Lattice="4.136 0.000 0.000 0.000 4.136 0.000 0.000 0.000 11.050" Properties=species:S:1:pos:R:3 pbc="T T T"
Tm 2.068 0.000 2.816
Tm 0.000 2.068 8.234
Al 2.068 2.068 0.000
Al 0.000 0.000 0.000
Al 2.068 0.000 6.963
Al 0.000 2.068 4.087
Rh 2.068 2.068 5.525
Au 0.000 0.000 5.525
Au 2.068 0.000 9.454
Au 0.000 2.068 1.596
```

Entry 6:
Dy2PF | PBE | relaxed

Output
space group = R-3m, No. 166
formation energy from raw total energies = -187 kJ/mol of atoms
crystal system = trigonal
calculated total energy = -6.055 eV/atom

```
4
Lattice="3.862 0.000 0.000 1.931 3.345 0.000 1.931 1.115 6.123" Properties=species:S:1:pos:R:3 pbc="T T T"
P 0.000 0.000 0.000
F 3.862 2.230 3.062
Dy 1.931 1.115 1.553
Dy 5.793 3.345 4.570
```

Entry 7:
TaBeNiRh2 | PBE | relaxed

Output
DFT formation energy = 0.6394 eV/atom
space group = P4/mmm, No. 123
crystal system = tetragonal
calculated total energy = -6.573 eV/atom

```
5
Lattice="-1.189 1.215 4.219 -0.972 -3.427 0.713 4.218 -0.896 1.447" Properties=species:S:1:pos:R:3 pbc="T T T"
Ni 0.000 0.000 0.000
Rh 2.109 -0.448 0.723
Rh -0.594 0.607 2.109
Be -0.486 -1.714 0.356
Ta 1.029 -1.554 3.189
```

Q: What is the calculated total energy in the second record?
A: -6.452 eV/atom

Please write out number 5 again, unchanged.
Tm2Al4RhAu3 | PBE | relaxed

Output
DFT formation energy = -0.7263 eV/atom
space group = P-4m2, No. 115
crystal system = tetragonal
calculated total energy = -4.836 eV/atom

```
10
Lattice="4.136 0.000 0.000 0.000 4.136 0.000 0.000 0.000 11.050" Properties=species:S:1:pos:R:3 pbc="T T T"
Tm 2.068 0.000 2.816
Tm 0.000 2.068 8.234
Al 2.068 2.068 0.000
Al 0.000 0.000 0.000
Al 2.068 0.000 6.963
Al 0.000 2.068 4.087
Rh 2.068 2.068 5.525
Au 0.000 0.000 5.525
Au 2.068 0.000 9.454
Au 0.000 2.068 1.596
```

Q: Which value of calculated total energy does entry 7 give?
A: -6.573 eV/atom